The following is a GGA-PBE calculation of a geometry-optimized CaRe2AgO8 structure, from Alexandria.

Computed properties:
Its total energy is -89.39 eV/cell. The calculation puts the uncorrected formation energy at -1.66 eV/atom. As for the size of the total moment: 0.00 μB per formula unit.

Cell lengths 6.1525, 6.1525, 6.7738 Å; angles 90.00, 90.00, 120.00 degrees
Fractional positions:
Ca  0.0000  0.0000  0.0000
Re  0.3333  0.6667  0.2904
Re  0.6667  0.3333  0.7096
Ag  0.0000  0.0000  0.5000
O  0.1738  0.3476  0.2124
O  0.1738  0.8262  0.2124
O  0.3333  0.6667  0.5482
O  0.3476  0.1738  0.7876
O  0.6524  0.8262  0.2124
O  0.6667  0.3333  0.4518
O  0.8262  0.1738  0.7876
O  0.8262  0.6524  0.7876

The following is a GGA-PBE calculation of a geometry-optimized In12Te3I5 structure, from Alexandria.

Computed properties:
Its total energy is -210.32 eV/cell. The calculation puts the uncorrected formation energy at -0.13 eV/atom. As for the size of the total moment: 0.00 μB per formula unit.

Cell lengths 17.0413, 17.0413, 17.0413 Å; angles 109.47, 109.47, 109.47 degrees
Fractional positions:
In  0.0632  0.7276  0.6575
In  0.0632  0.8355  0.4057
In  0.0701  0.2276  0.1645
In  0.0701  0.3425  0.9057
In  0.0943  0.6645  0.4368
In  0.0943  0.9299  0.6575
In  0.1575  0.2276  0.5632
In  0.1575  0.4299  0.5943
In  0.1645  0.0701  0.2276
In  0.1645  0.5943  0.9368
In  0.2276  0.1645  0.0701
In  0.2276  0.5632  0.1575
In  0.2724  0.3425  0.9368
In  0.2724  0.4299  0.3355
In  0.3355  0.2724  0.4299
In  0.3355  0.5632  0.9057
In  0.3425  0.9057  0.0701
In  0.3425  0.9368  0.2724
In  0.4057  0.0632  0.8355
In  0.4057  0.8425  0.5701
In  0.4299  0.3355  0.2724
In  0.4299  0.5943  0.1575
In  0.4368  0.0943  0.6645
In  0.4368  0.8425  0.7724
In  0.5632  0.1575  0.2276
In  0.5632  0.9057  0.3355
In  0.5701  0.4057  0.8425
In  0.5701  0.6645  0.7276
In  0.5943  0.1575  0.4299
In  0.5943  0.9368  0.1645
In  0.6575  0.0632  0.7276
In  0.6575  0.0943  0.9299
In  0.6645  0.4368  0.0943
In  0.6645  0.7276  0.5701
In  0.7276  0.5701  0.6645
In  0.7276  0.6575  0.0632
In  0.7724  0.4368  0.8425
In  0.7724  0.8355  0.9299
In  0.8355  0.4057  0.0632
In  0.8355  0.9299  0.7724
In  0.8425  0.5701  0.4057
In  0.8425  0.7724  0.4368
In  0.9057  0.0701  0.3425
In  0.9057  0.3355  0.5632
In  0.9299  0.6575  0.0943
In  0.9299  0.7724  0.8355
In  0.9368  0.1645  0.5943
In  0.9368  0.2724  0.3425
Te  0.1250  0.2500  0.3750
Te  0.1250  0.3750  0.7500
Te  0.2500  0.3750  0.1250
Te  0.2500  0.8750  0.6250
Te  0.3750  0.1250  0.2500
Te  0.3750  0.7500  0.1250
Te  0.6250  0.2500  0.8750
Te  0.6250  0.8750  0.7500
Te  0.7500  0.1250  0.3750
Te  0.7500  0.6250  0.8750
Te  0.8750  0.6250  0.2500
Te  0.8750  0.7500  0.6250
I  0.0000  0.0000  0.0000
I  0.0000  0.0000  0.5000
I  0.0000  0.5000  0.0000
I  0.0000  0.5000  0.5000
I  0.1250  0.7500  0.8750
I  0.1250  0.8750  0.2500
I  0.2500  0.1250  0.8750
I  0.2500  0.6250  0.3750
I  0.3750  0.2500  0.6250
I  0.3750  0.6250  0.7500
I  0.5000  0.0000  0.0000
I  0.5000  0.0000  0.5000
I  0.5000  0.5000  0.0000
I  0.5000  0.5000  0.5000
I  0.6250  0.3750  0.2500
I  0.6250  0.7500  0.3750
I  0.7500  0.3750  0.6250
I  0.7500  0.8750  0.1250
I  0.8750  0.1250  0.7500
I  0.8750  0.2500  0.1250

The following is a GGA-PBE calculation of a geometry-optimized RbSn2Pt2 structure, from Alexandria.

Computed properties:
The value obtained for the relative energy among the computed polymorphs is 80 meV per atom. Its total energy is -45.81 eV/cell. As for the size of the total moment: 0.00 μB per formula unit.

Cell lengths 4.7963, 4.7963, 10.9781 Å; angles 90.00, 90.00, 90.00 degrees
Fractional positions:
Rb  0.0000  0.0000  0.0000
Rb  0.5000  0.5000  0.5000
Sn  0.0000  0.5000  0.2500
Sn  0.0000  0.5000  0.7500
Sn  0.5000  0.0000  0.2500
Sn  0.5000  0.0000  0.7500
Pt  0.0000  0.0000  0.3712
Pt  0.0000  0.0000  0.6288
Pt  0.5000  0.5000  0.1288
Pt  0.5000  0.5000  0.8712

The following is a GGA-PBE calculation of a geometry-optimized CePr8In5 structure, from Alexandria.

Computed properties:
Its total energy is -60.86 eV/cell. As for the size of the total moment: 1.73 μB per formula unit.

Cell lengths 8.3927, 8.3927, 8.3927 Å; angles 109.40, 109.40, 109.62 degrees
Fractional positions:
Ce  0.0000  0.0000  0.0000
Pr  0.0268  0.2845  0.4091
Pr  0.2297  0.1276  0.7448
Pr  0.3823  0.9732  0.2577
Pr  0.3828  0.4848  0.2552
Pr  0.5152  0.7703  0.8980
Pr  0.7155  0.1246  0.7423
Pr  0.8724  0.6172  0.1020
Pr  0.8754  0.6177  0.5909
In  0.1195  0.5001  0.8811
In  0.2500  0.7500  0.5000
In  0.4999  0.3810  0.6194
In  0.6190  0.2384  0.1189
In  0.7616  0.8805  0.3806

The following is a GGA-PBE calculation of a geometry-optimized AlTc2Os structure, from Alexandria.

Computed properties:
Its total energy is -71.51 eV/cell. As for the size of the total moment: 0.00 μB per formula unit.

Cell lengths 5.1161, 8.1045, 2.8023 Å; angles 90.00, 90.16, 90.00 degrees
Fractional positions:
Al  0.0000  0.0000  0.0000
Al  0.5000  0.5000  0.0000
Tc  0.2500  0.2500  0.5000
Tc  0.2500  0.7500  0.5000
Tc  0.7500  0.2500  0.5000
Tc  0.7500  0.7500  0.5000
Os  0.0000  0.5000  0.0000
Os  0.5000  0.0000  0.0000

The following is a GGA-PBE calculation of a geometry-optimized ZrScCoRh structure, from Alexandria.

Computed properties:
Its total energy is -126.92 eV/cell. As for the size of the total moment: 0.00 μB per formula unit.

Cell lengths 6.4393, 6.4393, 6.4393 Å; angles 90.00, 90.00, 90.00 degrees
Fractional positions:
Zr  0.0000  0.0000  0.0000
Zr  0.0000  0.5000  0.5000
Zr  0.5000  0.0000  0.5000
Zr  0.5000  0.5000  0.0000
Sc  0.0000  0.0000  0.5000
Sc  0.0000  0.5000  0.0000
Sc  0.5000  0.0000  0.0000
Sc  0.5000  0.5000  0.5000
Co  0.2500  0.2500  0.2500
Co  0.2500  0.7500  0.7500
Co  0.7500  0.2500  0.7500
Co  0.7500  0.7500  0.2500
Rh  0.2500  0.2500  0.7500
Rh  0.2500  0.7500  0.2500
Rh  0.7500  0.2500  0.2500
Rh  0.7500  0.7500  0.7500

The following is a GGA-PBE calculation of a geometry-optimized LaHo3Cd structure, from Alexandria.

Computed properties:
Its total energy is -38.59 eV/cell. As for the size of the total moment: 0.00 μB per formula unit.

Cell lengths 3.7831, 9.5407, 9.1917 Å; angles 90.00, 101.22, 90.00 degrees
Fractional positions:
La  0.0422  0.2500  0.0331
La  0.9578  0.7500  0.9669
Ho  0.2026  0.2500  0.4069
Ho  0.3845  0.0073  0.7792
Ho  0.3845  0.4927  0.7792
Ho  0.6155  0.5073  0.2208
Ho  0.6155  0.9927  0.2208
Ho  0.7974  0.7500  0.5931
Cd  0.1727  0.7500  0.3322
Cd  0.8273  0.2500  0.6678

The following is a GGA-PBE calculation of a geometry-optimized MgCdIrRh2 structure, from Alexandria.

Computed properties:
Its total energy is -19.55 eV/cell. As for the size of the total moment: 0.00 μB per formula unit.

Cell lengths 4.4276, 4.4276, 4.6915 Å; angles 90.00, 90.00, 90.00 degrees
Fractional positions:
Mg  0.0000  0.0000  0.0000
Cd  0.0000  0.0000  0.5000
Ir  0.5000  0.5000  0.5000
Rh  0.0000  0.5000  0.0000
Rh  0.5000  0.0000  0.0000

The following is a GGA-PBE calculation of a geometry-optimized Rb2GaPtF6 structure, from Alexandria.

Computed properties:
Its total energy is -43.42 eV/cell. The calculation puts the uncorrected formation energy at -2.12 eV/atom. As for the size of the total moment: 1.00 μB per formula unit.

Cell lengths 6.1903, 6.1903, 6.1903 Å; angles 115.89, 115.89, 97.28 degrees
Fractional positions:
Rb  0.2500  0.7500  0.5000
Rb  0.7500  0.2500  0.5000
Ga  0.0000  0.0000  0.0000
Pt  0.5000  0.5000  0.0000
F  0.2037  0.2037  0.4075
F  0.2037  0.7963  0.0000
F  0.2472  0.2472  0.0000
F  0.7528  0.7528  0.0000
F  0.7963  0.2037  0.0000
F  0.7963  0.7963  0.5925

The following is a GGA-PBE calculation of a geometry-optimized SrCuTe2 structure, from Alexandria.

Computed properties:
Its total energy is -14.23 eV/cell. The calculation puts the uncorrected formation energy at -0.54 eV/atom. As for the size of the total moment: 0.00 μB per formula unit.

Cell lengths 4.0943, 4.0943, 7.5910 Å; angles 90.00, 90.00, 90.00 degrees
Fractional positions:
Sr  0.0000  0.0000  0.0000
Cu  0.5000  0.5000  0.4853
Te  0.0000  0.0000  0.4333
Te  0.5000  0.5000  0.8271

What did the ninth record say?
The following is a GGA-PBE calculation of a geometry-optimized Rb2GaPtF6 structure, from Alexandria.

Computed properties:
Its total energy is -43.42 eV/cell. The calculation puts the uncorrected formation energy at -2.12 eV/atom. As for the size of the total moment: 1.00 μB per formula unit.

Cell lengths 6.1903, 6.1903, 6.1903 Å; angles 115.89, 115.89, 97.28 degrees
Fractional positions:
Rb  0.2500  0.7500  0.5000
Rb  0.7500  0.2500  0.5000
Ga  0.0000  0.0000  0.0000
Pt  0.5000  0.5000  0.0000
F  0.2037  0.2037  0.4075
F  0.2037  0.7963  0.0000
F  0.2472  0.2472  0.0000
F  0.7528  0.7528  0.0000
F  0.7963  0.2037  0.0000
F  0.7963  0.7963  0.5925